No. 1
Compound: ScNiCl
Source: the Alexandria database
Functional: PBE
Structure: relaxed

Output
- symmetry = No. 216

a = 4.3709 Å, b = 4.3709 Å, c = 4.3709 Å
α = 60.00°, β = 60.00°, γ = 60.00°
Positions (direct):
1 Sc 0.2500 0.2500 0.2500
2 Ni 0.5000 0.5000 0.5000
3 Cl 0.0000 0.0000 0.0000

No. 2
Compound: ScTlNi2Cl
Source: the Alexandria database
Functional: PBE
Structure: relaxed

Output
- symmetry = No. 123
- Fermi-level density of states (states/eV/cell) = 6.01

a = 4.7752 Å, b = 5.5878 Å, c = 4.7752 Å
α = 90.00°, β = 90.00°, γ = 90.00°
Last column: magnetic moment on the atom in μB.
Positions (direct):
1 Ni 0.5000 0.0000 0.0000  0.42
2 Ni 0.0000 0.0000 0.5000  0.37
3 Tl 0.0000 0.0000 0.0000  -0.01
4 Sc 0.0000 0.5000 0.0000  0.06
5 Cl 0.5000 0.5000 0.5000  -0.01

Number 1: uncorrected formation energy -329 meV per atom, raw total energy -14.95 eV/cell, size of the total moment 0.000 μB/atom. Number 2: uncorrected formation energy 748 meV per atom, raw total energy -18.37 eV/cell, size of the total moment 0.167 μB/atom.